Below is a relaxed structure of Hg2P2O7, with properties calculated at the PBE level.

## Properties
ρ (g/cm³): 6.6
ΔE to the lowest computed polymorph (meV/atom): 13.7

extended XYZ file:
```
11
Lattice="3.511 -4.474 0.000 3.511 4.474 0.000 -0.912 0.000 4.608" Properties=species:S:1:pos:R:3 pbc="T T T"
Hg 3.511 2.692 0.000
Hg 3.511 -2.692 0.000
P 1.555 0.000 2.669
P 4.651 0.000 1.948
O 1.236 1.293 3.428
O 0.930 0.000 1.272
O 1.236 -1.293 3.428
O 3.160 0.000 2.507
O 4.873 1.276 1.126
O 4.873 -1.276 1.126
O 5.544 0.000 3.192
```

=====

Below is a relaxed structure of GdZr5, with properties calculated at the PBE level.

## Properties
ρ (g/cm³): 6.9
ΔE_f (eV/atom): 0.039

extended XYZ file:
```
6
Lattice="5.702 0.000 0.000 -2.851 4.938 0.000 0.000 0.000 5.217" Properties=species:S:1:pos:R:3 pbc="T T T"
Gd 0.000 0.000 0.000
Zr -1.853 3.209 2.609
Zr 0.000 3.292 0.000
Zr 0.998 1.729 2.609
Zr 3.706 0.000 2.609
Zr 2.851 1.646 0.000
```

=====

Below is a relaxed structure of HgAsIr2, with properties calculated at the PBE level.

## Properties
ρ (g/cm³): 16.1
VASP energy (eV/cell): -20.15

extended XYZ file:
```
4
Lattice="0.000 3.238 3.238 3.238 0.000 3.238 3.238 3.238 0.000" Properties=species:S:1:pos:R:3 pbc="T T T"
Hg 0.000 0.000 0.000
As 4.858 4.858 4.858
Ir 1.619 1.619 1.619
Ir 3.238 3.238 3.238
```

=====

Below is a relaxed structure of Zr2Ag2Pb, with properties calculated at the PBE level.

## Properties
ρ (g/cm³): 8.9
ΔE to the lowest computed polymorph (meV/atom): 45.8

extended XYZ file:
```
5
Lattice="-2.042 2.042 6.780 2.042 -2.042 6.780 2.042 2.042 -6.780" Properties=species:S:1:pos:R:3 pbc="T T T"
Zr 0.000 0.000 1.365
Zr 0.000 0.000 12.194
Ag 2.042 0.000 3.390
Ag 0.000 2.042 3.390
Pb 0.000 0.000 6.780
```

=====

Below is a relaxed structure of PrGd3Th, with properties calculated at the PBE level.

## Properties
ρ (g/cm³): 6.9
ΔE_f (eV/atom): 0.748

extended XYZ file:
```
5
Lattice="5.868 0.000 0.000 0.000 5.868 0.000 0.000 0.000 5.868" Properties=species:S:1:pos:R:3 pbc="T T T"
Pr 0.000 0.000 0.000
Gd 0.000 2.934 2.934
Gd 2.934 0.000 2.934
Gd 2.934 2.934 0.000
Th 2.934 2.934 2.934
```

=====

Below is a relaxed structure of MgAlReTe, with properties calculated at the PBE level.

## Properties
ρ (g/cm³): 8.5
ΔE to the lowest computed polymorph (meV/atom): 0.0

extended XYZ file:
```
4
Lattice="0.000 3.290 3.290 3.290 0.000 3.290 3.290 3.290 0.000" Properties=species:S:1:pos:R:3 pbc="T T T"
Mg 0.000 0.000 0.000
Al 1.645 1.645 1.645
Re 3.290 3.290 3.290
Te 4.935 4.935 4.935
```

=====

Below is a relaxed structure of CuHgSCl, with properties calculated at the PBE level.

## Properties
ρ (g/cm³): 6.0
VASP energy (eV/cell): -91.44

extended XYZ file:
```
32
Lattice="9.966 0.000 0.000 0.000 18.122 0.000 0.000 0.000 4.058" Properties=species:S:1:pos:R:3 pbc="T T T"
Cu 0.623 1.238 0.000
Cu 0.977 11.324 0.000
Cu 4.006 2.263 0.000
Cu 4.360 10.300 0.000
Cu 5.606 7.823 0.000
Cu 5.960 15.859 0.000
Cu 8.989 6.798 0.000
Cu 9.343 16.884 0.000
Hg 0.265 4.223 2.029
Hg 2.409 7.113 2.029
Hg 2.574 16.174 2.029
Hg 4.719 13.284 2.029
Hg 5.248 4.838 2.029
Hg 7.392 1.948 2.029
Hg 7.557 11.009 2.029
Hg 9.702 13.900 2.029
S 0.040 6.631 2.029
S 0.140 16.297 2.029
S 4.843 7.236 2.029
S 4.943 15.692 2.029
S 5.023 2.430 2.029
S 5.124 10.887 2.029
S 9.826 1.825 2.029
S 9.926 11.491 2.029
Cl 2.276 9.354 0.000
Cl 2.489 4.125 0.000
Cl 2.494 13.186 0.000
Cl 2.707 0.293 0.000
Cl 7.259 17.829 0.000
Cl 7.472 4.936 0.000
Cl 7.477 13.997 0.000
Cl 7.690 8.768 0.000
```

=====

Below is a relaxed structure of Pt5N, with properties calculated at the PBE level.

## Properties
ρ (g/cm³): 15.5
VASP energy (eV/cell): -31.00

extended XYZ file:
```
6
Lattice="5.217 0.000 0.000 -2.609 4.518 0.000 0.000 0.000 4.488" Properties=species:S:1:pos:R:3 pbc="T T T"
Pt -1.304 2.259 0.000
Pt 0.000 3.012 2.244
Pt 2.609 0.000 0.000
Pt 1.304 2.259 0.000
Pt 2.609 1.506 2.244
N 0.000 0.000 2.244
```

=====

The lowest ρ belongs to which entry?
CuHgSCl